[1]
Entry from Alexandria via LeMat-Bulk: a relaxed structure of PmPr2Ho9 (PBE-GGA).

formation enthalpy at 0 K = 0.068 eV per atom
ρ = 8.2 g/cm³
relative energy among the computed polymorphs = 0.044 eV/atom

a b c (Å): 11.2900 11.2900 3.5113
angles (deg): 90.00 90.00 120.00
Closest atoms and distances in Å follow each position.
Space group P6/mmm (No. 191)
Inequivalent atoms, fractional coordinates:
Pm: 0.0000 0.0000 0.0000  2 Pm 3.51, 12 Ho 3.84
Pr: 0.3333 0.6667 0.0000  9 Ho 3.26-3.57, 2 Pr 3.51
Ho: 0.0000 0.5000 0.0000  2 Pr 3.26, 10 Ho 3.51-3.64
Ho: 0.1747 0.3493 0.5000  8 Ho 3.42-3.64, 2 Pr 3.57

---

[2]
Entry from Alexandria via LeMat-Bulk: a relaxed structure of Ti2CuAg (PBE-GGA).

formation enthalpy at 0 K = 0.436 eV per atom
ρ = 6.6 g/cm³

a b c (Å): 3.7140 3.7140 19.5612
angles (deg): 90.00 90.00 90.00
Closest atoms and distances in Å follow each position.
Space group I-42d (No. 122)
Inequivalent atoms, fractional coordinates:
Ti: 0.2446 0.2500 0.1250  4 Ti 2.60-2.65, 2 Cu 2.77, 2 Ag 2.78
Cu: 0.0000 0.0000 0.0000  4 Ag 2.63, 4 Ti 2.77
Ag: 0.0000 0.0000 0.5000  4 Cu 2.63, 4 Ti 2.78

---

Q: Which of these has the highest ρ?
A: PmPr2Ho9

---

Q: Which value of ρ does entry 1 give?
A: 8.2 g/cm³